Record 1
{"formula": "ZrInNF2", "functional": "GGA-PBE", "state": "relaxed", "lattice": [[-1.891, -2.768, -2.830], [0.307, -3.229, 2.954], [-3.808, 1.037, 1.529]], "species": ["Zr", "F", "F", "N", "In"], "fractional_positions": [[0.000, 0.000, 0.000], [0.000, 0.500, 0.000], [0.500, 0.000, 0.000], [0.000, 0.000, 0.500], [0.500, 0.500, 0.500]], "polymorph_energy_ev_per_atom": 0.0000, "density_kg_m3": 5260}


Record 2
{"formula": "NaInF4", "functional": "GGA-PBE", "state": "relaxed", "lattice": [[-0.241, -1.830, 5.226], [3.184, -4.205, -1.325], [4.509, 2.846, 1.804]], "species": ["F", "F", "F", "F", "F", "F", "F", "F", "Na", "Na", "In", "In"], "fractional_positions": [[0.134, 0.844, 0.684], [0.805, 0.676, 0.140], [0.366, 0.344, 0.316], [0.634, 0.656, 0.684], [0.695, 0.176, 0.860], [0.195, 0.324, 0.860], [0.866, 0.156, 0.316], [0.305, 0.824, 0.140], [0.000, 0.500, 0.500], [0.500, 0.000, 0.500], [0.000, 0.000, 0.000], [0.500, 0.500, 0.000]], "density_kg_m3": 4206}


Record 3
{"formula": "Na3InF8", "functional": "GGA-PBE", "state": "relaxed", "lattice": [[5.445, 0.000, 0.000], [0.000, 5.445, 0.000], [0.000, 0.000, 5.445]], "species": ["Na", "Na", "Na", "F", "F", "F", "F", "F", "F", "F", "F", "In"], "fractional_positions": [[0.500, 0.000, 0.500], [0.000, 0.500, 0.500], [0.500, 0.500, 0.000], [0.765, 0.765, 0.765], [0.765, 0.765, 0.235], [0.235, 0.235, 0.235], [0.765, 0.235, 0.235], [0.235, 0.235, 0.765], [0.765, 0.235, 0.765], [0.235, 0.765, 0.235], [0.235, 0.765, 0.765], [0.000, 0.000, 0.000]], "density_kg_m3": 3453}


Record 4
{"formula": "NaInF2", "functional": "GGA-PBE", "state": "relaxed", "lattice": [[-5.325, 5.056, 1.544], [-3.321, 4.544, 4.963], [-1.857, 6.952, 2.130]], "species": ["F", "F", "Na", "In"], "fractional_positions": [[0.096, 0.096, 0.096], [0.904, 0.904, 0.904], [0.000, 0.000, 0.000], [0.500, 0.500, 0.500]], "polymorph_energy_ev_per_atom": 0.2880, "density_kg_m3": 2957}


Record 5
{"formula": "NaInF2", "functional": "GGA-PBE", "state": "relaxed", "lattice": [[3.035, 0.000, 0.000], [0.000, 3.035, 0.000], [0.000, 0.000, 6.593]], "species": ["Na", "F", "F", "In"], "fractional_positions": [[0.500, 0.500, 0.000], [0.000, 0.000, 0.791], [0.000, 0.000, 0.209], [0.500, 0.500, 0.500]], "polymorph_energy_ev_per_atom": 0.1624, "density_kg_m3": 4806}


Record 6
{"formula": "Na2InF6", "functional": "GGA-PBE", "state": "relaxed", "lattice": [[3.649, 0.004, -1.171], [-0.802, 4.761, -2.483], [0.144, 0.386, 6.630]], "species": ["Na", "Na", "F", "F", "F", "F", "F", "F", "In"], "fractional_positions": [[0.669, 0.669, 0.338], [0.331, 0.331, 0.662], [0.500, 0.772, 0.000], [0.500, 0.228, 0.000], [0.152, 0.917, 0.304], [0.848, 0.083, 0.696], [0.848, 0.613, 0.696], [0.152, 0.387, 0.304], [0.000, 0.000, 0.000]], "density_kg_m3": 3806}


Record 7
{"formula": "NaIn2F", "functional": "GGA-PBE", "state": "relaxed", "lattice": [[5.301, 0.000, 0.000], [0.000, 5.301, 0.000], [2.651, 2.651, 8.396]], "species": ["F", "F", "Na", "Na", "In", "In", "In", "In"], "fractional_positions": [[0.250, 0.750, 0.500], [0.500, 0.500, 0.000], [0.750, 0.250, 0.500], [0.000, 0.000, 0.000], [0.375, 0.509, 0.750], [0.491, 0.125, 0.250], [0.259, 0.625, 0.250], [0.875, 0.741, 0.750]], "polymorph_energy_ev_per_atom": 0.0000, "density_kg_m3": 3823}


Record 8
{"formula": "NaInF2", "functional": "GGA-PBE", "state": "relaxed", "lattice": [[1.875, 0.000, 7.029], [-0.937, 1.623, 7.029], [-0.937, -1.623, 7.029]], "species": ["F", "F", "Na", "In"], "fractional_positions": [[0.105, 0.105, 0.105], [0.895, 0.895, 0.895], [0.500, 0.500, 0.500], [0.000, 0.000, 0.000]], "polymorph_energy_ev_per_atom": 0.0000, "density_kg_m3": 4549}


no.,calculated total energy (eV/atom)
1,-6.447
2,-4.547
3,-3.974
4,-3.804
5,-3.929
6,-4.159
7,-2.868
8,-4.092